Material: Ca4BiTe3
Method: DFT, GGA-PBE
State: optimized geometry

Cell lengths 6.427, 6.427, 6.427 Å; angles 90.00, 90.00, 90.00 degrees
Sites, in units of the cell vectors:
1 Ca 0.000 0.000 0.000
2 Ca 0.000 0.500 0.500
3 Ca 0.500 0.000 0.500
4 Ca 0.500 0.500 0.000
5 Bi 0.500 0.500 0.500
6 Te 0.000 0.000 0.500
7 Te 0.000 0.500 0.000
8 Te 0.500 0.000 0.000

Summary:
SG ... Pm-3m, No. 221
Magnetic moment ... 0.000 μB per atom
Total DFT energy (no corrections) ... -3.997 eV per atom

=====

Material: GaSnNO2
Method: DFT, GGA-PBE
State: optimized geometry

Cell lengths 3.828, 3.828, 4.044 Å; angles 90.00, 90.00, 90.00 degrees
Sites, in units of the cell vectors:
1 Ga 0.000 0.000 0.000
2 Sn 0.500 0.500 0.500
3 N 0.000 0.000 0.500
4 O 0.000 0.500 0.000
5 O 0.500 0.000 0.000

Summary:
SG ... P4/mmm, No. 123
Magnetic moment ... 0.000 μB per atom
Total DFT energy (no corrections) ... -5.293 eV per atom

=====

Material: BeFe2As
Method: DFT, GGA-PBE
State: optimized geometry

Cell lengths 8.557, 8.557, 8.557 Å; angles 156.56, 156.56, 33.39 degrees
Sites, in units of the cell vectors:
1 Be 0.000 0.000 0.000
2 Be 0.750 0.250 0.500
3 Fe 0.106 0.625 0.981
4 Fe 0.375 0.356 0.481
5 Fe 0.644 0.125 0.019
6 Fe 0.875 0.894 0.519
7 As 0.250 0.750 0.500
8 As 0.500 0.500 0.000

Summary:
SG ... I-42d, No. 122
Magnetic moment ... 0.936 μB per atom
Distance to the lowest polymorph of the same formula ... 356 meV per atom

=====

Material: ZnBr
Method: DFT, GGA-PBE
State: optimized geometry

Cell lengths 3.740, 3.740, 9.205 Å; angles 103.10, 103.10, 57.05 degrees
Sites, in units of the cell vectors:
1 Zn 0.160 0.160 0.392
2 Zn 0.840 0.840 0.608
3 Br 0.419 0.419 0.219
4 Br 0.581 0.581 0.781

Summary:
SG ... C2/m, No. 12
Magnetic moment ... 0.000 μB per atom
Total DFT energy (no corrections) ... -1.924 eV per atom

=====

Material: Ir8RuRh6
Method: DFT, GGA-PBE
State: optimized geometry

Cell lengths 6.633, 6.633, 6.633 Å; angles 66.12, 66.12, 66.12 degrees
Sites, in units of the cell vectors:
1 Ir 0.152 0.822 0.439
2 Ir 0.178 0.561 0.848
3 Ir 0.229 0.229 0.229
4 Ir 0.439 0.152 0.822
5 Ir 0.561 0.848 0.178
6 Ir 0.771 0.771 0.771
7 Ir 0.822 0.439 0.152
8 Ir 0.848 0.178 0.561
9 Ru 0.000 0.000 0.000
10 Rh 0.137 0.325 0.613
11 Rh 0.325 0.613 0.137
12 Rh 0.387 0.863 0.675
13 Rh 0.613 0.137 0.325
14 Rh 0.675 0.387 0.863
15 Rh 0.863 0.675 0.387

Summary:
SG ... R-3, No. 148
Magnetic moment ... 0.000 μB per atom
Total DFT energy (no corrections) ... -7.946 eV per atom

=====

Material: AgCl2
Method: DFT, GGA-PBE
State: optimized geometry

Cell lengths 6.378, 7.225, 3.655 Å; angles 90.00, 90.00, 90.00 degrees
Sites, in units of the cell vectors:
1 Ag 0.000 0.000 0.000
2 Ag 0.500 0.500 0.500
3 Cl 0.216 0.131 0.500
4 Cl 0.284 0.631 0.000
5 Cl 0.716 0.369 0.000
6 Cl 0.784 0.869 0.500

Summary:
SG ... Pnnm, No. 58
Magnetic moment ... 0.276 μB per atom
Total DFT energy (no corrections) ... -2.504 eV per atom

=====

Material: LaCr3
Method: DFT, GGA-PBE
State: optimized geometry

Cell lengths 4.727, 4.727, 3.297 Å; angles 90.00, 90.00, 90.00 degrees
Sites, in units of the cell vectors:
1 La 0.000 0.000 0.000
2 Cr 0.000 0.500 0.500
3 Cr 0.500 0.000 0.500
4 Cr 0.500 0.500 0.000

Summary:
SG ... P4/mmm, No. 123
Magnetic moment ... 0.579 μB per atom
Total DFT energy (no corrections) ... -7.729 eV per atom

=====

Material: CsCa4Pb5
Method: DFT, GGA-PBE
State: optimized geometry

Cell lengths 4.031, 4.031, 20.686 Å; angles 90.00, 90.00, 90.00 degrees
Sites, in units of the cell vectors:
1 Cs 0.000 0.000 0.000
2 Ca 0.000 0.000 0.221
3 Ca 0.000 0.000 0.406
4 Ca 0.000 0.000 0.594
5 Ca 0.000 0.000 0.779
6 Pb 0.500 0.500 0.137
7 Pb 0.500 0.500 0.312
8 Pb 0.500 0.500 0.500
9 Pb 0.500 0.500 0.688
10 Pb 0.500 0.500 0.863

Summary:
SG ... P4/mmm, No. 123
Magnetic moment ... 0.000 μB per atom
Total DFT energy (no corrections) ... -3.158 eV per atom

=====

Material: TiCoTc2Rh
Method: DFT, GGA-PBE
State: optimized geometry

Cell lengths 4.625, 4.625, 4.451 Å; angles 90.00, 90.00, 90.00 degrees
Sites, in units of the cell vectors:
1 Ti 0.000 0.000 0.000
2 Co 0.500 0.500 0.000
3 Tc 0.000 0.500 0.500
4 Tc 0.500 0.000 0.500
5 Rh 0.500 0.500 0.500

Summary:
SG ... P4/mmm, No. 123
Magnetic moment ... 0.460 μB per atom
Total DFT energy (no corrections) ... -7.165 eV per atom

=====

Material: HoPb2Au
Method: DFT, GGA-PBE
State: optimized geometry

Cell lengths 10.843, 10.843, 10.843 Å; angles 18.82, 18.82, 18.82 degrees
Sites, in units of the cell vectors:
1 Ho 0.000 0.000 0.000
2 Pb 0.098 0.098 0.098
3 Pb 0.902 0.902 0.902
4 Au 0.500 0.500 0.500

Summary:
SG ... R-3m, No. 166
Magnetic moment ... 0.000 μB per atom
Distance to the lowest polymorph of the same formula ... 432 meV per atom

=====

Material: Er3PaO7
Method: DFT, GGA-PBE
State: optimized geometry

Cell lengths 6.583, 6.583, 7.655 Å; angles 90.00, 90.00, 109.68 degrees
Sites, in units of the cell vectors:
1 Er 0.001 0.001 0.000
2 Er 0.030 0.508 0.250
3 Er 0.492 0.970 0.250
4 Er 0.508 0.030 0.750
5 Er 0.970 0.492 0.750
6 Er 0.999 0.999 0.500
7 Pa 0.500 0.500 0.000
8 Pa 0.500 0.500 0.500
9 O 0.132 0.868 0.250
10 O 0.136 0.864 0.750
11 O 0.159 0.411 0.969
12 O 0.159 0.412 0.531
13 O 0.398 0.602 0.250
14 O 0.411 0.159 0.031
15 O 0.412 0.159 0.469
16 O 0.588 0.841 0.969
17 O 0.589 0.841 0.531
18 O 0.602 0.398 0.750
19 O 0.841 0.588 0.031
20 O 0.841 0.589 0.469
21 O 0.864 0.136 0.250
22 O 0.868 0.132 0.750

Summary:
SG ... C222_1, No. 20
Magnetic moment ... 0.000 μB per atom
Total DFT energy (no corrections) ... -8.849 eV per atom

=====

Material: Dy2GaNi6
Method: DFT, GGA-PBE
State: optimized geometry

Cell lengths 5.773, 5.773, 5.773 Å; angles 60.00, 60.00, 60.00 degrees
Sites, in units of the cell vectors:
1 Dy 0.250 0.250 0.250
2 Dy 0.750 0.750 0.750
3 Ga 0.000 0.000 0.000
4 Ni 0.287 0.287 0.713
5 Ni 0.287 0.713 0.287
6 Ni 0.287 0.713 0.713
7 Ni 0.713 0.287 0.287
8 Ni 0.713 0.287 0.713
9 Ni 0.713 0.713 0.287

Summary:
SG ... Fm-3m, No. 225
Magnetic moment ... 0.000 μB per atom
Total DFT energy (no corrections) ... -5.582 eV per atom

=====

Material: SmYHoTm
Method: DFT, GGA-PBE
State: optimized geometry

Cell lengths 6.146, 6.146, 6.146 Å; angles 131.69, 131.69, 70.72 degrees
Sites, in units of the cell vectors:
1 Sm 0.000 0.000 0.000
2 Y 0.250 0.750 0.500
3 Ho 0.750 0.250 0.500
4 Tm 0.500 0.500 0.000

Summary:
SG ... I-4m2, No. 119
Magnetic moment ... 0.000 μB per atom
Distance to the lowest polymorph of the same formula ... 0 meV per atom

=====

Material: Ac3ZrN4
Method: DFT, GGA-PBE
State: optimized geometry

Cell lengths 8.119, 7.166, 6.099 Å; angles 90.00, 90.00, 90.00 degrees
Sites, in units of the cell vectors:
1 Ac 0.000 0.147 0.000
2 Ac 0.250 0.334 0.501
3 Ac 0.250 0.666 0.001
4 Ac 0.500 0.853 0.500
5 Ac 0.750 0.334 0.501
6 Ac 0.750 0.666 0.001
7 Zr 0.000 0.827 0.494
8 Zr 0.500 0.173 0.994
9 N 0.000 0.119 0.570
10 N 0.000 0.825 0.153
11 N 0.224 0.686 0.575
12 N 0.276 0.314 0.075
13 N 0.500 0.175 0.653
14 N 0.500 0.881 0.070
15 N 0.724 0.314 0.075
16 N 0.776 0.686 0.575

Summary:
SG ... Pmn2_1, No. 31
Magnetic moment ... 0.000 μB per atom
Total DFT energy (no corrections) ... -7.966 eV per atom

=====

Material: AcEuGa2
Method: DFT, GGA-PBE
State: optimized geometry

Cell lengths 3.862, 3.862, 7.621 Å; angles 90.00, 90.00, 90.00 degrees
Sites, in units of the cell vectors:
1 Ac 0.000 0.000 0.000
2 Eu 0.000 0.000 0.500
3 Ga 0.500 0.500 0.266
4 Ga 0.500 0.500 0.734

Summary:
SG ... P4/mmm, No. 123
Magnetic moment ... 1.794 μB per atom
Total DFT energy (no corrections) ... -5.552 eV per atom

=====

Material: MnTlAu2
Method: DFT, GGA-PBE
State: optimized geometry

Cell lengths 8.610, 8.610, 8.610 Å; angles 22.53, 22.53, 22.53 degrees
Sites, in units of the cell vectors:
1 Mn 0.000 0.000 0.000
2 Tl 0.756 0.756 0.756
3 Au 0.262 0.262 0.262
4 Au 0.512 0.512 0.512

Summary:
SG ... R3m, No. 160
Magnetic moment ... 1.082 μB per atom
Distance to the lowest polymorph of the same formula ... 199 meV per atom

=====

Material: TaHCl
Method: DFT, GGA-PBE
State: optimized geometry

Cell lengths 6.904, 5.569, 5.358 Å; angles 90.00, 104.95, 90.00 degrees
Sites, in units of the cell vectors:
1 Ta 0.021 0.119 0.265
2 Ta 0.021 0.381 0.765
3 Ta 0.979 0.619 0.235
4 Ta 0.979 0.881 0.735
5 H 0.150 0.637 0.613
6 H 0.150 0.863 0.113
7 H 0.850 0.137 0.887
8 H 0.850 0.363 0.387
9 Cl 0.291 0.095 0.685
10 Cl 0.291 0.405 0.185
11 Cl 0.709 0.595 0.815
12 Cl 0.709 0.905 0.315

Summary:
SG ... P2_1/c, No. 14
Magnetic moment ... 0.000 μB per atom
Total DFT energy (no corrections) ... -6.116 eV per atom

=====

Material: SrLi2ScCl8
Method: DFT, GGA-PBE
State: optimized geometry

Cell lengths 7.226, 7.226, 7.696 Å; angles 90.00, 90.00, 120.00 degrees
Sites, in units of the cell vectors:
1 Sr 0.000 0.000 0.000
2 Li 0.333 0.667 0.758
3 Li 0.667 0.333 0.242
4 Sc 0.000 0.000 0.500
5 Cl 0.071 0.300 0.701
6 Cl 0.229 0.929 0.701
7 Cl 0.300 0.229 0.299
8 Cl 0.333 0.667 0.058
9 Cl 0.667 0.333 0.942
10 Cl 0.700 0.771 0.701
11 Cl 0.771 0.071 0.299
12 Cl 0.929 0.700 0.299

Summary:
SG ... P-3, No. 147
Magnetic moment ... 0.090 μB per atom
Total DFT energy (no corrections) ... -3.975 eV per atom

=====

Material: Ac3TlAs2Pd9
Method: DFT, GGA-PBE
State: optimized geometry

Cell lengths 6.158, 6.158, 10.978 Å; angles 90.00, 90.00, 120.00 degrees
Sites, in units of the cell vectors:
1 Ac 0.000 0.000 0.000
2 Ac 0.333 0.667 0.731
3 Ac 0.667 0.333 0.269
4 Tl 0.000 0.000 0.500
5 As 0.333 0.667 0.159
6 As 0.667 0.333 0.841
7 Pd 0.000 0.500 0.000
8 Pd 0.152 0.305 0.296
9 Pd 0.152 0.848 0.296
10 Pd 0.305 0.152 0.704
11 Pd 0.500 0.000 0.000
12 Pd 0.500 0.500 0.000
13 Pd 0.695 0.848 0.296
14 Pd 0.848 0.152 0.704
15 Pd 0.848 0.695 0.704

Summary:
SG ... P-3m1, No. 164
Magnetic moment ... 0.000 μB per atom
Total DFT energy (no corrections) ... -5.311 eV per atom

=====

Material: HfCdAg2
Method: DFT, GGA-PBE
State: optimized geometry

Cell lengths 5.052, 5.052, 3.083 Å; angles 90.00, 90.00, 90.00 degrees
Sites, in units of the cell vectors:
1 Hf 0.000 0.000 0.000
2 Cd 0.500 0.500 0.000
3 Ag 0.000 0.500 0.500
4 Ag 0.500 0.000 0.500

Summary:
SG ... P4/mmm, No. 123
Magnetic moment ... 0.000 μB per atom
Total DFT energy (no corrections) ... -4.052 eV per atom

=====

Material: TlP5
Method: DFT, GGA-PBE
State: optimized geometry

Cell lengths 4.551, 6.364, 6.364 Å; angles 43.73, 90.00, 90.00 degrees
Sites, in units of the cell vectors:
1 Tl 0.000 0.000 0.000
2 P 0.000 0.272 0.272
3 P 0.000 0.710 0.710
4 P 0.500 0.216 0.216
5 P 0.500 0.611 0.611
6 P 0.500 0.794 0.794

Summary:
SG ... Amm2, No. 38
Magnetic moment ... 0.000 μB per atom
Distance to the lowest polymorph of the same formula ... 343 meV per atom

=====

Material: Tl3BiBr
Method: DFT, GGA-PBE
State: optimized geometry

Cell lengths 6.005, 6.005, 6.005 Å; angles 90.00, 90.00, 90.00 degrees
Sites, in units of the cell vectors:
1 Tl 0.000 0.000 0.500
2 Tl 0.000 0.500 0.000
3 Tl 0.500 0.000 0.000
4 Bi 0.500 0.500 0.500
5 Br 0.000 0.000 0.000

Summary:
SG ... Pm-3m, No. 221
Magnetic moment ... 0.000 μB per atom
Distance to the lowest polymorph of the same formula ... 56 meV per atom

=====

Material: Ag3RuO
Method: DFT, GGA-PBE
State: optimized geometry

Cell lengths 4.386, 4.386, 4.386 Å; angles 90.00, 90.00, 90.00 degrees
Sites, in units of the cell vectors:
1 Ag 0.000 0.000 0.500
2 Ag 0.000 0.500 0.000
3 Ag 0.500 0.000 0.000
4 Ru 0.500 0.500 0.500
5 O 0.000 0.000 0.000

Summary:
SG ... Pm-3m, No. 221
Magnetic moment ... 0.409 μB per atom
Distance to the lowest polymorph of the same formula ... 0 meV per atom

=====

Material: FeSn2HgPb
Method: DFT, GGA-PBE
State: optimized geometry

Cell lengths 5.032, 5.032, 5.209 Å; angles 90.00, 90.00, 90.00 degrees
Sites, in units of the cell vectors:
1 Fe 0.000 0.000 0.000
2 Sn 0.000 0.500 0.000
3 Sn 0.500 0.000 0.000
4 Hg 0.500 0.500 0.500
5 Pb 0.000 0.000 0.500

Summary:
SG ... P4/mmm, No. 123
Magnetic moment ... 0.386 μB per atom
Total DFT energy (no corrections) ... -3.958 eV per atom